Entry one
AgHg2: single point on PBEsol structure, SCAN.

Unit cell a=6.788 b=6.788 c=5.490 alpha=90.00 beta=90.00 gamma=90.00
Atoms (fractional coordinates):
Ag: 0.000 0.000 0.250
Ag: 0.000 0.000 0.750
Ag: 0.500 0.500 0.250
Ag: 0.500 0.500 0.750
Hg: 0.156 0.344 0.000
Hg: 0.156 0.656 0.500
Hg: 0.344 0.156 0.500
Hg: 0.344 0.844 0.000
Hg: 0.656 0.156 0.000
Hg: 0.656 0.844 0.500
Hg: 0.844 0.344 0.500
Hg: 0.844 0.656 0.000

Crystal system = tetragonal
Mass density = 13.37 g/cm³
Space-group type = No. 140

=====

Entry two
AgHg2: single point on PBEsol structure, SCAN.

Unit cell a=11.177 b=3.060 c=7.126 alpha=90.00 beta=102.93 gamma=90.00
Atoms (fractional coordinates):
Ag: 0.032 0.000 0.308
Ag: 0.468 0.500 0.692
Ag: 0.532 0.500 0.308
Ag: 0.968 0.000 0.692
Hg: 0.136 0.500 0.034
Hg: 0.181 0.500 0.631
Hg: 0.319 0.000 0.369
Hg: 0.364 0.000 0.966
Hg: 0.636 0.000 0.034
Hg: 0.681 0.000 0.631
Hg: 0.819 0.500 0.369
Hg: 0.864 0.500 0.966

Crystal system = monoclinic
Mass density = 14.23 g/cm³
Space-group type = No. 12

=====

Most stable structure - entry one; separation to the second - 3.8 kJ/mol of atoms.